The following is a DFT calculation (PBE-GGA) of La4Gd2H after structural relaxation.

Calculated values
- uncorrected energy (eV/atom) = -7.27
- DOS(E_F) (states/eV/f.u.) = 8.671

a b c (Å): 5.036 5.036 9.528
angles (deg): 74.68 74.68 90.00
Element x y z (fractional)
1 H 0.000 0.000 0.000
2 Gd 0.641 0.641 0.717
3 Gd 0.359 0.359 0.283
4 La 0.843 0.843 0.315
5 La 0.157 0.157 0.685
6 La 0.000 0.500 0.000
7 La 0.500 0.000 0.000

---

The following is a DFT calculation (PBE-GGA) of LaGdH2 after structural relaxation.

Calculated values
- uncorrected energy (eV/atom) = -6.84
- DOS(E_F) (states/eV/f.u.) = 2.377

a b c (Å): 3.611 3.611 6.274
angles (deg): 73.28 73.28 60.00
Element x y z (fractional)
1 H 0.256 0.256 0.231
2 H 0.744 0.744 0.769
3 Gd 0.000 0.000 0.000
4 La 0.500 0.500 0.500